Record 1
## LiCa2Ag7 (GGA-PBE)

Data for crystalline LiCa2Ag7 at its relaxed geometry.

The energy of formation is 79 kJ/mol of formula units. Its total energy is -2.506 eV per atom.

The space group is Fm-3m (No. 225) and the conventional cell measures 9.8138, 9.8138 and 9.8138 Å, with angles of 90.00, 90.00 and 90.00 degrees. The distinct sites, in fractional coordinates, are Li at (0.0000, 0.0000, 0.0000), Ca at (0.2500, 0.2500, 0.2500), Ag at (0.0000, 0.0000, 0.2333) and Ag at (0.0000, 0.0000, 0.5000).

Record 2
## CaTc2W (GGA-PBE)

Data for crystalline CaTc2W at its relaxed geometry.

Its energy relative to the lowest polymorph listed for this composition is 160 meV per atom. The energy of formation is 177 kJ/mol of formula units. Its total energy is -8.462 eV per atom.

The space group is P2/m (No. 10) and the conventional cell measures 2.8816, 4.1749 and 6.2625 Å, with angles of 90.00, 100.15 and 90.00 degrees. The distinct sites, in fractional coordinates, are Ca at (0.0000, 0.0000, 0.0000), Tc at (0.2792, 0.5000, 0.6922) and W at (0.5000, 0.0000, 0.5000).

Record 3
## KCaIn2 (GGA-PBE)

Data for crystalline KCaIn2 at its relaxed geometry.

Its energy relative to the lowest polymorph listed for this composition is 79 meV per atom. The energy of formation is -52 kJ/mol of formula units. Its total energy is -2.280 eV per atom.

The space group is Fm-3m (No. 225) and the conventional cell measures 8.0192, 8.0192 and 8.0192 Å, with angles of 90.00, 90.00 and 90.00 degrees. The distinct sites, in fractional coordinates, are K at (0.0000, 0.0000, 0.0000), Ca at (0.0000, 0.0000, 0.5000) and In at (0.2500, 0.2500, 0.2500).

Record 4
## TbPr3Ho6Tm2 (GGA-PBE)

Data for crystalline TbPr3Ho6Tm2 at its relaxed geometry.

The energy of formation is 26 kJ/mol of formula units. Its total energy is -4.592 eV per atom.

The space group is C2/m (No. 12) and the conventional cell measures 6.1892, 10.7152 and 11.7964 Å, with angles of 90.00, 100.05 and 90.00 degrees. The distinct sites, in fractional coordinates, are Tb at (0.0000, 0.0000, 0.0000), Pr at (0.0000, 0.1668, 0.5000), Pr at (0.0000, 0.5000, 0.5000), Ho at (0.2484, 0.1669, 0.2447), Ho at (0.2478, 0.5000, 0.2447) and Tm at (0.0000, 0.3333, 0.0000).

> What is the formula in the second record?

CaTc2W